Pm5Er2Mg5: optimized geometry, GGA-PBE.

Formation energy from the elements in eV/f.u.: -0.48
Uncorrected energy in eV/f.u.: -41.3
N(E_F) in states/eV/f.u.: 12.27

Cell: 8.754 8.754 12.249 Å, 113.63 113.63 24.29°
Positions (direct):
Pm  0.000  0.000  0.000
Pm  0.060  0.060  0.745
Pm  0.169  0.169  0.525
Pm  0.831  0.831  0.475
Pm  0.940  0.940  0.255
Er  0.382  0.382  0.741
Er  0.618  0.618  0.259
Mg  0.265  0.265  0.219
Mg  0.328  0.328  0.999
Mg  0.500  0.500  0.500
Mg  0.672  0.672  0.001
Mg  0.735  0.735  0.781